Compound: YTm12Sc7
Source: Alexandria
Functional: GGA-PBE
Structure: relaxed

Results
Crystal system   cubic
DFT formation energy   0.697 eV per atom
Relative energy among the computed polymorphs   0.424 eV/atom

Cell: 9.371 9.371 9.371 Å, 109.47 109.47 109.47°
Sites, in units of the cell vectors:
1 Tm 0.741 0.740 0.481
2 Tm 0.999 0.259 0.740
3 Tm 0.740 0.999 0.259
4 Tm 0.519 0.259 0.260
5 Tm 0.259 0.260 0.519
6 Tm 0.260 0.001 0.741
7 Tm 0.740 0.481 0.741
8 Tm 0.259 0.740 0.999
9 Tm 0.741 0.260 0.001
10 Tm 0.001 0.741 0.260
11 Tm 0.260 0.519 0.259
12 Tm 0.481 0.741 0.740
13 Sc 0.500 0.000 0.000
14 Sc 0.000 0.500 0.500
15 Sc 0.000 0.500 0.000
16 Sc 0.500 0.500 0.000
17 Sc 0.500 0.500 0.500
18 Sc 0.500 0.000 0.500
19 Sc 0.000 0.000 0.500
20 Y 0.000 0.000 0.000

Compound: TmScNiRu
Source: Alexandria
Functional: GGA-PBE
Structure: relaxed

Results
Crystal system   tetragonal
DFT formation energy   -0.535 eV per atom
Relative energy among the computed polymorphs   0.000 eV/atom

Cell: 3.291 3.291 6.459 Å, 90.00 90.00 90.00°
Sites, in units of the cell vectors:
1 Tm 0.000 0.000 0.858
2 Sc 0.000 0.000 0.354
3 Ni 0.500 0.500 0.594
4 Ru 0.500 0.500 0.122